1.
# LaIrOs4, optimized geometry, DFT PBE-GGA
data_LaIrOs4
_chemical_formula_sum 'La4 Ir4 Os16'
_cell_length_a 7.4963
_cell_length_b 7.4963
_cell_length_c 7.4963
_cell_angle_alpha 90.00
_cell_angle_beta 90.00
_cell_angle_gamma 90.00
_space_group_name_H-M_alt 'F -4 3 m'
_space_group_IT_number 216
_space_group_name_Hall 'F -4 2 3'
loop_
_atom_site_label
_atom_site_fract_x
_atom_site_fract_y
_atom_site_fract_z
_atom_site_occupancy
La1 0.0000 0.0000 0.0000 1
Ir1 0.2500 0.2500 0.2500 1
Os1 0.1230 0.1230 0.6230 1
# M_tot   0.001 μB/cell
# Energy   -9.2694 eV/atom
# Formation energy   515.2 meV per atom
# V   17.6 Å³/atom


2.
# La2IrOs, optimized geometry, DFT PBE-GGA
data_La2IrOs
_chemical_formula_sum 'La4 Ir2 Os2'
_cell_length_a 3.2802
_cell_length_b 4.7939
_cell_length_c 11.8482
_cell_angle_alpha 90.00
_cell_angle_beta 90.00
_cell_angle_gamma 90.00
_space_group_name_H-M_alt 'I m m 2'
_space_group_IT_number 44
_space_group_name_Hall 'I 2 -2'
loop_
_atom_site_label
_atom_site_fract_x
_atom_site_fract_y
_atom_site_fract_z
_atom_site_occupancy
La1 0.0000 0.0000 0.0000 1
La2 0.0000 0.5000 0.2089 1
Ir1 0.0000 0.0000 0.4322 1
Os1 0.0000 0.5000 0.7577 1
# M_tot   0.000 μB/cell
# Energy   -7.6047 eV/atom
# Formation energy   -118.2 meV per atom
# Distance to the lowest polymorph of the same formula   157.5 meV per atom
# V   23.3 Å³/atom


3.
# LaIrOs, optimized geometry, DFT PBE-GGA
data_LaIrOs
_chemical_formula_sum 'La2 Ir2 Os2'
_cell_length_a 3.5260
_cell_length_b 3.5260
_cell_length_c 10.3058
_cell_angle_alpha 90.00
_cell_angle_beta 90.00
_cell_angle_gamma 90.00
_space_group_name_H-M_alt 'I 4 m m'
_space_group_IT_number 107
_space_group_name_Hall 'I 4 -2'
loop_
_atom_site_label
_atom_site_fract_x
_atom_site_fract_y
_atom_site_fract_z
_atom_site_occupancy
La1 0.0000 0.0000 0.0000 1
Ir1 0.0000 0.0000 0.2878 1
Os1 0.0000 0.0000 0.7206 1
# M_tot   0.000 μB/cell
# Energy   -8.1482 eV/atom
# Formation energy   191.2 meV per atom
# Distance to the lowest polymorph of the same formula   407.9 meV per atom
# V   21.4 Å³/atom


4.
# La2IrOs, optimized geometry, DFT PBE-GGA
data_La2IrOs
_chemical_formula_sum 'La8 Ir4 Os4'
_cell_length_a 6.9577
_cell_length_b 6.9577
_cell_length_c 6.9577
_cell_angle_alpha 90.00
_cell_angle_beta 90.00
_cell_angle_gamma 90.00
_space_group_name_H-M_alt 'F -4 3 m'
_space_group_IT_number 216
_space_group_name_Hall 'F -4 2 3'
loop_
_atom_site_label
_atom_site_fract_x
_atom_site_fract_y
_atom_site_fract_z
_atom_site_occupancy
La1 0.0000 0.0000 0.0000 1
La2 0.2500 0.2500 0.2500 1
Ir1 0.2500 0.2500 0.7500 1
Os1 0.0000 0.0000 0.5000 1
# M_tot   0.575 μB/cell
# Energy   -7.3548 eV/atom
# Formation energy   131.6 meV per atom
# Distance to the lowest polymorph of the same formula   407.4 meV per atom
# V   21.1 Å³/atom


What did the fourth record say?
# La2IrOs, optimized geometry, DFT PBE-GGA
data_La2IrOs
_chemical_formula_sum 'La8 Ir4 Os4'
_cell_length_a 6.9577
_cell_length_b 6.9577
_cell_length_c 6.9577
_cell_angle_alpha 90.00
_cell_angle_beta 90.00
_cell_angle_gamma 90.00
_space_group_name_H-M_alt 'F -4 3 m'
_space_group_IT_number 216
_space_group_name_Hall 'F -4 2 3'
loop_
_atom_site_label
_atom_site_fract_x
_atom_site_fract_y
_atom_site_fract_z
_atom_site_occupancy
La1 0.0000 0.0000 0.0000 1
La2 0.2500 0.2500 0.2500 1
Ir1 0.2500 0.2500 0.7500 1
Os1 0.0000 0.0000 0.5000 1
# M_tot   0.575 μB/cell
# Energy   -7.3548 eV/atom
# Formation energy   131.6 meV per atom
# Distance to the lowest polymorph of the same formula   407.4 meV per atom
# V   21.1 Å³/atom


What is the formation energy in the fourth record?
131.6 meV per atom